[1]
RbLi2MnC: optimized geometry, PBE.

For the energy relative to the elements, the calculation gives 6.400 eV/f.u. The calculated density comes out at 2.566 g cm⁻³. Its size of the total moment is 5.30 μB/f.u. The total energy is -3.36 eV per atom.

It has space group P4/mmm (No. 123), with a = 4.546 Å, b = 4.546 Å, c = 5.207 Å, α = 90.00°, β = 90.00° and γ = 90.00°. The inequivalent atoms are Rb at (0.000, 0.000, 0.000), Li at (0.000, 0.500, 0.500), Mn at (0.500, 0.500, 0.000) and C at (0.000, 0.000, 0.500).



[2]
LiMn2RhC: optimized geometry, PBE.

For the energy relative to the elements, the calculation gives 0.087 eV/f.u. The calculated density comes out at 6.162 g cm⁻³. Its size of the total moment is 5.92 μB/f.u. The total energy is -7.35 eV per atom.

It has space group P4/mmm (No. 123), with a = 3.929 Å, b = 3.929 Å, c = 4.046 Å, α = 90.00°, β = 90.00° and γ = 90.00°. The inequivalent atoms are Li at (0.000, 0.000, 0.000), Mn at (0.000, 0.500, 0.500), Rh at (0.500, 0.500, 0.000) and C at (0.500, 0.500, 0.500).



[3]
LiMnRhC: optimized geometry, PBE.

For the energy relative to the elements, the calculation gives 2.274 eV/f.u. The calculated density comes out at 7.305 g cm⁻³. Its size of the total moment is 2.90 μB/f.u. The total energy is -6.35 eV per atom.

It has space group F-43m (No. 216), with a = 5.437 Å, b = 5.437 Å, c = 5.437 Å, α = 90.00°, β = 90.00° and γ = 90.00°. The inequivalent atoms are Li at (0.000, 0.000, 0.000), Mn at (0.250, 0.250, 0.250), Rh at (0.250, 0.250, 0.750) and C at (0.000, 0.000, 0.500).



[4]
LiMn2RuC: optimized geometry, PBE.

For the energy relative to the elements, the calculation gives 0.606 eV/f.u. The calculated density comes out at 6.034 g cm⁻³. Its size of the total moment is 6.71 μB/f.u. The total energy is -7.63 eV per atom.

It has space group P4/mmm (No. 123), with a = 3.980 Å, b = 3.980 Å, c = 3.995 Å, α = 90.00°, β = 90.00° and γ = 90.00°. The inequivalent atoms are Li at (0.000, 0.000, 0.000), Mn at (0.000, 0.500, 0.500), Ru at (0.500, 0.500, 0.000) and C at (0.500, 0.500, 0.500).



[5]
LiMn2SbC: optimized geometry, PBE.

The calculated density comes out at 6.480 g cm⁻³. Its size of the total moment is 4.18 μB/f.u. The total energy is -6.70 eV per atom.

It has space group P4/mmm (No. 123), with a = 3.906 Å, b = 3.906 Å, c = 4.209 Å, α = 90.00°, β = 90.00° and γ = 90.00°. The inequivalent atoms are Li at (0.000, 0.000, 0.000), Mn at (0.000, 0.500, 0.500), Sb at (0.500, 0.500, 0.000) and C at (0.000, 0.000, 0.500).



[6]
LiScMn2C: optimized geometry, PBE.

For the energy relative to the elements, the calculation gives 0.293 eV/f.u. The calculated density comes out at 4.504 g cm⁻³. Its size of the total moment is 0.00 μB/f.u. The calculation puts the offset from the most stable computed form at 0.092 eV/atom. The total energy is -7.10 eV per atom.

It has space group P4/mmm (No. 123), with a = 3.789 Å, b = 3.789 Å, c = 4.463 Å, α = 90.00°, β = 90.00° and γ = 90.00°. The inequivalent atoms are Li at (0.000, 0.000, 0.000), Sc at (0.500, 0.500, 0.000), Mn at (0.000, 0.500, 0.500) and C at (0.500, 0.500, 0.500).



[7]
LiScMn2C: optimized geometry, PBE.

For the energy relative to the elements, the calculation gives -0.168 eV/f.u. The calculated density comes out at 4.705 g cm⁻³. Its size of the total moment is 2.71 μB/f.u. The calculation puts the offset from the most stable computed form at 0.000 eV/atom. The total energy is -7.20 eV per atom.

It has space group P4/mmm (No. 123), with a = 3.870 Å, b = 3.870 Å, c = 4.095 Å, α = 90.00°, β = 90.00° and γ = 90.00°. The inequivalent atoms are Li at (0.000, 0.000, 0.000), Sc at (0.500, 0.500, 0.000), Mn at (0.000, 0.500, 0.500) and C at (0.000, 0.000, 0.500).



[8]
LiSmMnC: optimized geometry, PBE.

For the energy relative to the elements, the calculation gives -0.224 eV/f.u. The calculated density comes out at 5.780 g cm⁻³. Its size of the total moment is 0.97 μB/f.u. The total energy is -6.31 eV per atom.

It has space group P4/nmm (No. 129, origin choice 2), with a = 3.412 Å, b = 3.412 Å, c = 11.067 Å, α = 90.00°, β = 90.00° and γ = 90.00°. The inequivalent atoms are Li at (0.250, 0.750, 0.000), Sm at (0.250, 0.250, 0.275), Mn at (0.250, 0.750, 0.500) and C at (0.250, 0.250, 0.601).



[9]
LiTbMnC: optimized geometry, PBE.

For the energy relative to the elements, the calculation gives -0.258 eV/f.u. The calculated density comes out at 6.228 g cm⁻³. Its size of the total moment is 0.93 μB/f.u. The total energy is -6.30 eV per atom.

It has space group P4/nmm (No. 129, origin choice 2), with a = 3.376 Å, b = 3.376 Å, c = 10.890 Å, α = 90.00°, β = 90.00° and γ = 90.00°. The inequivalent atoms are Li at (0.250, 0.750, 0.000), Tb at (0.250, 0.250, 0.276), Mn at (0.250, 0.750, 0.500) and C at (0.250, 0.250, 0.607).



[10]
LiTmMnC: optimized geometry, PBE.

For the energy relative to the elements, the calculation gives -0.233 eV/f.u. The calculated density comes out at 6.750 g cm⁻³. Its size of the total moment is 0.90 μB/f.u. The total energy is -6.25 eV per atom.

It has space group P4/nmm (No. 129, origin choice 2), with a = 3.344 Å, b = 3.344 Å, c = 10.684 Å, α = 90.00°, β = 90.00° and γ = 90.00°. The inequivalent atoms are Li at (0.250, 0.750, 0.000), Tm at (0.250, 0.250, 0.275), Mn at (0.250, 0.750, 0.500) and C at (0.250, 0.250, 0.613).



[11]
LiYMn2C: optimized geometry, PBE.

For the energy relative to the elements, the calculation gives 0.377 eV/f.u. The calculated density comes out at 5.413 g cm⁻³. Its size of the total moment is 2.87 μB/f.u. The total energy is -7.11 eV per atom.

It has space group P4/mmm (No. 123), with a = 3.944 Å, b = 3.944 Å, c = 4.293 Å, α = 90.00°, β = 90.00° and γ = 90.00°. The inequivalent atoms are Li at (0.000, 0.000, 0.000), Y at (0.500, 0.500, 0.000), Mn at (0.000, 0.500, 0.500) and C at (0.000, 0.000, 0.500).



[12]
LiMn2ZnC: optimized geometry, PBE.

For the energy relative to the elements, the calculation gives 0.075 eV/f.u. The calculated density comes out at 5.539 g cm⁻³. Its size of the total moment is 4.04 μB/f.u. The total energy is -6.14 eV per atom.

It has space group P4/mmm (No. 123), with a = 3.809 Å, b = 3.809 Å, c = 4.013 Å, α = 90.00°, β = 90.00° and γ = 90.00°. The inequivalent atoms are Li at (0.000, 0.000, 0.000), Mn at (0.000, 0.500, 0.500), Zn at (0.500, 0.500, 0.000) and C at (0.000, 0.000, 0.500).



[13]
LiMo3C: optimized geometry, PBE.

For the energy relative to the elements, the calculation gives 11.840 eV/f.u. The calculated density comes out at 7.361 g cm⁻³. Its size of the total moment is 0.00 μB/f.u. The calculation puts the offset from the most stable computed form at 2.022 eV/atom. The total energy is -6.36 eV per atom.

It has space group Pm-3m (No. 221), with a = 4.106 Å, b = 4.106 Å, c = 4.106 Å, α = 90.00°, β = 90.00° and γ = 90.00°. The inequivalent atoms are Li at (0.000, 0.000, 0.000), Mo at (0.000, 0.000, 0.500) and C at (0.500, 0.500, 0.500).



[14]
Li2MoC: optimized geometry, PBE.

For the energy relative to the elements, the calculation gives 2.847 eV/f.u. The calculated density comes out at 4.261 g cm⁻³. Its size of the total moment is 0.00 μB/f.u. The total energy is -5.26 eV per atom.

It has space group I-42d (No. 122), with a = 6.739 Å, b = 6.739 Å, c = 4.182 Å, α = 90.00°, β = 90.00° and γ = 90.00°. The inequivalent atoms are Li at (0.170, 0.250, 0.125), Mo at (0.000, 0.000, 0.500) and C at (0.000, 0.000, 0.000).



[15]
LiMoC3: optimized geometry, PBE.

For the energy relative to the elements, the calculation gives 12.668 eV/f.u. The calculated density comes out at 5.226 g cm⁻³. Its size of the total moment is 0.00 μB/f.u. The calculation puts the offset from the most stable computed form at 0.970 eV/atom. The total energy is -5.55 eV per atom.

It has space group Pm-3m (No. 221), with a = 3.534 Å, b = 3.534 Å, c = 3.534 Å, α = 90.00°, β = 90.00° and γ = 90.00°. The inequivalent atoms are Li at (0.000, 0.000, 0.000), Mo at (0.500, 0.500, 0.500) and C at (0.000, 0.000, 0.500).



[16]
LiMoC3: optimized geometry, PBE.

For the energy relative to the elements, the calculation gives 7.816 eV/f.u. The calculated density comes out at 3.359 g cm⁻³. Its size of the total moment is 0.00 μB/f.u. The calculation puts the offset from the most stable computed form at 0.000 eV/atom. The total energy is -6.52 eV per atom.

It has space group Pm-3m (No. 221), with a = 4.095 Å, b = 4.095 Å, c = 4.095 Å, α = 90.00°, β = 90.00° and γ = 90.00°. The inequivalent atoms are Li at (0.000, 0.000, 0.000), Mo at (0.500, 0.500, 0.500) and C at (0.000, 0.500, 0.500).



[17]
LiMoC: optimized geometry, PBE.

For the energy relative to the elements, the calculation gives 0.275 eV/f.u. The calculated density comes out at 5.114 g cm⁻³. Its size of the total moment is 0.00 μB/f.u. The total energy is -7.23 eV per atom.

It has space group C2/m (No. 12), with a = 10.088 Å, b = 3.055 Å, c = 5.409 Å, α = 90.00°, β = 116.49° and γ = 90.00°. The inequivalent atoms are Li at (0.128, 0.000, 0.448), Mo at (0.110, 0.500, 0.899), C at (0.000, 0.000, 0.000) and C at (0.000, 0.500, 0.500).



[18]
LiMo3C: optimized geometry, PBE.

For the energy relative to the elements, the calculation gives 1.729 eV/f.u. The calculated density comes out at 7.138 g cm⁻³. Its size of the total moment is 0.00 μB/f.u. The calculation puts the offset from the most stable computed form at 0.000 eV/atom. The total energy is -8.38 eV per atom.

It has space group Pm-3m (No. 221), with a = 4.148 Å, b = 4.148 Å, c = 4.148 Å, α = 90.00°, β = 90.00° and γ = 90.00°. The inequivalent atoms are Li at (0.000, 0.000, 0.000), Mo at (0.000, 0.500, 0.500) and C at (0.500, 0.500, 0.500).



[19]
LiMo2C: optimized geometry, PBE.

For the energy relative to the elements, the calculation gives 4.631 eV/f.u. The calculated density comes out at 5.030 g cm⁻³. Its size of the total moment is 0.00 μB/f.u. The total energy is -7.04 eV per atom.

It has space group I-42d (No. 122), with a = 4.938 Å, b = 4.938 Å, c = 11.417 Å, α = 90.00°, β = 90.00° and γ = 90.00°. The inequivalent atoms are Li at (0.000, 0.000, 0.000), Mo at (0.120, 0.250, 0.625) and C at (0.000, 0.000, 0.500).



[20]
LiMoC2: optimized geometry, PBE.

For the energy relative to the elements, the calculation gives 3.139 eV/f.u. The calculated density comes out at 3.636 g cm⁻³. Its size of the total moment is 0.00 μB/f.u. The calculation puts the offset from the most stable computed form at 0.000 eV/atom. The total energy is -7.01 eV per atom.

It has space group I-42d (No. 122), with a = 4.987 Å, b = 4.987 Å, c = 9.321 Å, α = 90.00°, β = 90.00° and γ = 90.00°. The inequivalent atoms are Li at (0.000, 0.000, 0.000), Mo at (0.000, 0.000, 0.500) and C at (0.188, 0.250, 0.625).



[21]
LiMo2C2: optimized geometry, PBE.

For the energy relative to the elements, the calculation gives 1.943 eV/f.u. The calculated density comes out at 4.757 g cm⁻³. Its size of the total moment is 0.00 μB/f.u. The calculation puts the offset from the most stable computed form at 0.239 eV/atom. The total energy is -8.02 eV per atom.

It has space group I4/mmm (No. 139), with a = 3.939 Å, b = 3.939 Å, c = 10.028 Å, α = 90.00°, β = 90.00° and γ = 90.00°. The inequivalent atoms are Li at (0.000, 0.000, 0.000), Mo at (0.000, 0.500, 0.250) and C at (0.000, 0.000, 0.318).



[22]
LiMo2C2: optimized geometry, PBE.

For the energy relative to the elements, the calculation gives 0.746 eV/f.u. The calculated density comes out at 7.385 g cm⁻³. Its size of the total moment is 0.00 μB/f.u. The calculation puts the offset from the most stable computed form at 0.000 eV/atom. The total energy is -8.26 eV per atom.

It has space group P4/mbm (No. 127), with a = 5.871 Å, b = 5.871 Å, c = 2.907 Å, α = 90.00°, β = 90.00° and γ = 90.00°. The inequivalent atoms are Li at (0.000, 0.000, 0.000), Mo at (0.156, 0.344, 0.500) and C at (0.144, 0.644, 0.000).



[23]
LiMoC2: optimized geometry, PBE.

For the energy relative to the elements, the calculation gives 4.384 eV/f.u. The calculated density comes out at 5.815 g cm⁻³. Its size of the total moment is 0.00 μB/f.u. The calculation puts the offset from the most stable computed form at 0.311 eV/atom. The total energy is -6.70 eV per atom.

It has space group Fm-3m (No. 225), with a = 5.253 Å, b = 5.253 Å, c = 5.253 Å, α = 90.00°, β = 90.00° and γ = 90.00°. The inequivalent atoms are Li at (0.000, 0.000, 0.000), Mo at (0.000, 0.000, 0.500) and C at (0.250, 0.250, 0.250).



[24]
LiNiMo2C: optimized geometry, PBE.

For the energy relative to the elements, the calculation gives 7.750 eV/f.u. The calculated density comes out at 7.554 g cm⁻³. Its size of the total moment is 0.00 μB/f.u. The total energy is -6.17 eV per atom.

It has space group P4/mmm (No. 123), with a = 4.301 Å, b = 4.301 Å, c = 3.203 Å, α = 90.00°, β = 90.00° and γ = 90.00°. The inequivalent atoms are Li at (0.000, 0.000, 0.000), Ni at (0.500, 0.500, 0.500), Mo at (0.000, 0.500, 0.000) and C at (0.000, 0.000, 0.500).